Entry from the Alexandria database: Ac3La2Tb2Tl4 after structural relaxation (GGA-PBE).

```
Ac3La2Tb2Tl4
1.0
5.7468 0.0000 0.0000
-2.8734 4.9769 0.0000
0.0000 0.0000 13.1938
Ac La Tb Tl
3 2 2 4
Cartesian
0.0000 0.0000 9.0659
0.0000 0.0000 0.0000
0.0000 0.0000 4.1279
2.8734 1.6590 11.4254
0.0000 3.3179 1.7684
2.8734 1.6590 5.0719
0.0000 3.3179 8.1219
2.8734 1.6590 1.7987
0.0000 3.3179 11.3951
2.8734 1.6590 8.1433
0.0000 3.3179 5.0505
```

Energy of formation ... -184.7 meV per atom
V ... 34.31 Å³/atom
Density of states at the Fermi level ... 12.52 states/eV/cell
Calculated total energy ... -3.90 eV per atom